(1)
The following is a PBE-GGA calculation of an optimized crystal structure of SmBe6Au6, from Alexandria via LeMat-Bulk.

Calculated values
* SG: Immm, No. 71
* raw total energy: -3.852 eV/atom
* total moment: 0.0 μB per formula unit

```
13
Lattice="-2.4488 4.2927 4.4492 2.4488 -4.2927 4.4492 2.4488 4.2927 -4.4492" Properties=species:S:1:pos:R:3 pbc="T T T"
Sm 0.0000 0.0000 0.0000
Be 1.2244 2.1463 -2.2246
Be 1.2244 -2.1463 2.2246
Be 2.4488 2.0748 0.0000
Be -1.2244 2.1463 2.2246
Be 1.2244 2.1463 2.2246
Be 0.0000 2.2179 4.4492
Au 2.4488 0.0000 1.6211
Au 0.0000 2.8721 0.0000
Au 0.0000 0.0000 3.0582
Au 0.0000 0.0000 5.8401
Au 0.0000 5.7132 0.0000
Au 0.0000 4.2927 2.8281
```


(2)
The following is a PBE-GGA calculation of an optimized crystal structure of PdWIN2, from Alexandria via LeMat-Bulk.

Calculated values
* SG: P4/mmm, No. 123
* energy relative to the lowest polymorph listed for this composition: 0.00 eV/f.u.
* energy relative to the elements, uncorrected: 0.554 eV per atom
* raw total energy: -6.716 eV/atom
* total moment: 0.0 μB per formula unit

```
5
Lattice="3.9059 0.0000 0.0000 0.0000 3.9059 0.0000 0.0000 0.0000 5.9432" Properties=species:S:1:pos:R:3 pbc="T T T"
Pd 0.0000 0.0000 0.0000
W 1.9530 1.9530 2.9716
I 1.9530 1.9530 0.0000
N 0.0000 1.9530 2.9716
N 1.9530 0.0000 2.9716
```


(3)
The following is a PBE-GGA calculation of an optimized crystal structure of BaPtO3, from Alexandria via LeMat-Bulk.

Calculated values
* SG: Pm-3m, No. 221
* energy relative to the elements, uncorrected: -1.288 eV per atom
* raw total energy: -5.856 eV/atom
* total moment: 0.0 μB per formula unit

```
5
Lattice="4.1367 0.0000 0.0000 0.0000 4.1367 0.0000 0.0000 0.0000 4.1367" Properties=species:S:1:pos:R:3 pbc="T T T"
Ba 0.0000 0.0000 0.0000
Pt 2.0684 2.0684 2.0684
O 0.0000 2.0684 2.0684
O 2.0684 0.0000 2.0684
O 2.0684 2.0684 0.0000
```